Entry from Alexandria via LeMat-Bulk: Y2Ga3Si after structural relaxation (PBE).

The calculation puts the total energy at -5.238 eV per atom. As for the symmetry: Pmm2.

a = 4.0801 Å, b = 4.1656 Å, c = 7.2080 Å
α = 90.00°, β = 90.00°, γ = 90.00°
Closest atoms and distances in Å follow each position.
Fractional coordinates of all 6 atoms:
Y1 0.0000 0.0000 0.4947  8 Ga 3.12-3.17, 4 Si 3.13
Y2 0.0000 0.5000 0.0063  2 Si 3.13, 10 Ga 3.14-3.19
Ga1 0.5000 0.0000 0.8312  3 Ga 2.40-2.42
Ga2 0.5000 0.0000 0.1668  2 Si 2.41, 1 Ga 2.42
Ga3 0.5000 0.5000 0.6661  1 Si 2.39, 2 Ga 2.40
Si1 0.5000 0.5000 0.3350  3 Ga 2.39-2.41

***

Entry from Alexandria via LeMat-Bulk: Tl2CoSi after structural relaxation (PBE).

As for the symmetry: Pm. As for the energy above the most stable polymorph in this dataset: 15.2 kJ/mol of atoms.

a = 3.5580 Å, b = 4.5574 Å, c = 5.5848 Å
α = 64.90°, β = 90.00°, γ = 90.00°
Closest atoms and distances in Å follow each position.
Fractional coordinates of all 4 atoms:
Tl1 0.0000 0.9823 0.9371  2 Co 2.80-3.05, 4 Si 3.05
Tl2 0.5000 0.2711 0.3293  4 Co 2.92-3.08, 3 Si 2.96-3.19
Co1 0.0000 0.6643 0.4897  2 Si 2.21
Si1 0.5000 0.5822 0.7439  2 Co 2.21

***

Entry from Alexandria via LeMat-Bulk: BRh after structural relaxation (PBE).

The calculation puts the total energy at -6.860 eV per atom. As for the symmetry: P4_2/mnm.

a = 5.5782 Å, b = 5.5782 Å, c = 3.4655 Å
α = 90.00°, β = 90.00°, γ = 90.00°
Closest atoms and distances in Å follow each position.
Fractional coordinates of all 8 atoms:
B1 0.6871 0.6871 0.5000  4 Rh 2.03-2.04
B2 0.8129 0.1871 0.0000  4 Rh 2.03-2.04
B3 0.3129 0.3129 0.5000  4 Rh 2.03-2.04
B4 0.1871 0.8129 0.0000  4 Rh 2.03-2.04
Rh1 0.6792 0.3208 0.5000  4 B 2.03-2.04
Rh2 0.1792 0.1792 0.0000  4 B 2.03-2.04
Rh3 0.3208 0.6792 0.5000  4 B 2.03-2.04
Rh4 0.8208 0.8208 0.0000  4 B 2.03-2.04

***

Entry from Alexandria via LeMat-Bulk: BaSrMg2Ni after structural relaxation (PBE).

As for the symmetry: P4/mmm. As for the energy above the most stable polymorph in this dataset: 0.0 kJ/mol of atoms.

a = 5.2983 Å, b = 5.2983 Å, c = 5.5237 Å
α = 90.00°, β = 90.00°, γ = 90.00°
Closest atoms and distances in Å follow each position.
Fractional coordinates of all 5 atoms:
Sr1 0.0000 0.0000 0.5000  2 Ni 2.76
Mg1 0.5000 0.0000 0.0000  2 Ni 2.65
Mg2 0.0000 0.5000 0.0000  2 Ni 2.65
Ba1 0.5000 0.5000 0.5000  4 Sr 3.75, 8 Mg 3.83
Ni1 0.0000 0.0000 0.0000  4 Mg 2.65, 2 Sr 2.76

***

Entry from Alexandria via LeMat-Bulk: TaInOs4 after structural relaxation (PBE).

The calculation puts the total energy at -9.586 eV per atom. As for the symmetry: F-43m.

a = 5.2000 Å, b = 5.2000 Å, c = 5.2000 Å
α = 60.00°, β = 60.00°, γ = 60.00°
Closest atoms and distances in Å follow each position.
Fractional coordinates of all 6 atoms:
Os1 0.6253 0.1240 0.6253  6 Os 2.59-2.61
Os2 0.6253 0.6253 0.6253  6 Os 2.59-2.61
Os3 0.6253 0.6253 0.1240  6 Os 2.59-2.61
Os4 0.1240 0.6253 0.6253  6 Os 2.59-2.61
In1 0.0000 0.0000 0.0000  12 Os 3.05, 4 Ta 3.18
Ta1 0.2500 0.2500 0.2500  12 Os 3.05, 4 In 3.18

***

Entry from Alexandria via LeMat-Bulk: BaLi2PtPb after structural relaxation (PBE).

The calculation puts the total energy at -3.451 eV per atom. As for the symmetry: P4/mmm.

a = 5.1143 Å, b = 5.1143 Å, c = 5.2712 Å
α = 90.00°, β = 90.00°, γ = 90.00°
Closest atoms and distances in Å follow each position.
Fractional coordinates of all 5 atoms:
Li1 0.0000 0.5000 0.0000  2 Pt 2.56
Li2 0.5000 0.0000 0.0000  2 Pt 2.56
Pt1 0.0000 0.0000 0.0000  4 Li 2.56, 2 Pb 2.64
Ba1 0.5000 0.5000 0.5000  4 Pb 3.62, 8 Li 3.67
Pb1 0.0000 0.0000 0.5000  2 Pt 2.64

***

Entry from Alexandria via LeMat-Bulk: NdYTe2O8 after structural relaxation (PBE).

The calculation puts the total energy at -6.684 eV per atom. As for the symmetry: I-4m2.

a = 6.3294 Å, b = 6.3294 Å, c = 6.3294 Å
α = 107.40°, β = 107.40°, γ = 113.71°
Closest atoms and distances in Å follow each position.
Fractional coordinates of all 12 atoms:
Te1 0.7500 0.2500 0.5000  4 O 1.98
Te2 0.5000 0.5000 0.0000  4 O 1.92
O1 0.8776 0.6974 0.1803  1 Te 1.92
O2 0.5171 0.6974 0.8197  1 Te 1.92
O3 0.3026 0.4829 0.1803  1 Te 1.92
O4 0.7402 0.0511 0.6891  1 Te 1.98
O5 0.3026 0.1224 0.8197  1 Te 1.92
O6 0.9489 0.2598 0.3109  1 Te 1.98
O7 0.3620 0.0511 0.3109  1 Te 1.98
O8 0.9489 0.6380 0.6891  1 Te 1.98
Y1 0.0000 0.0000 0.0000  8 O 2.36-2.49
Nd1 0.2500 0.7500 0.5000  8 O 2.42-2.52

***

Entry from Alexandria via LeMat-Bulk: ZrPaNb4 after structural relaxation (PBE).

The calculation puts the total energy at -9.646 eV per atom. As for the symmetry: F-43m.

a = 5.6122 Å, b = 5.6122 Å, c = 5.6122 Å
α = 60.00°, β = 60.00°, γ = 60.00°
Closest atoms and distances in Å follow each position.
Fractional coordinates of all 6 atoms:
Zr1 0.2500 0.2500 0.2500  12 Nb 3.29, 4 Pa 3.44
Pa1 0.0000 0.0000 0.0000  12 Nb 3.29, 4 Zr 3.44
Nb1 0.6254 0.6254 0.1238  6 Nb 2.80-2.82
Nb2 0.6254 0.6254 0.6254  6 Nb 2.80-2.82
Nb3 0.1238 0.6254 0.6254  6 Nb 2.80-2.82
Nb4 0.6254 0.1238 0.6254  6 Nb 2.80-2.82

***

no.,magnetization (μB/f.u.)
1,0.00
2,0.00
3,0.00
4,0.00
5,0.00
6,0.00
7,0.00
8,0.00